! Na3FeP2O8, relaxed, DFT PBE with a Hubbard U; values from VASP
! Calculated total energy, eV per cell: -179.8
&SYSTEM
  ibrav = 0, nat = 28, ntyp = 4
/
ATOMIC_SPECIES
Na 22.99 Na.upf
Fe 55.84 Fe.upf
P 30.97 P.upf
O 16.00 O.upf
CELL_PARAMETERS angstrom
4.602 -2.542 0.000
4.602 2.542 0.000
-0.494 0.000 14.053
ATOMIC_POSITIONS angstrom
Na 4.232 2.291 10.540
Na 2.865 0.213 5.145
Na 2.618 -0.213 12.171
Na 6.093 0.213 1.882
Na 5.846 -0.213 8.908
Na 4.479 -2.291 3.513
Fe 0.000 0.000 0.000
Fe -0.247 0.000 7.027
P 3.000 0.103 1.582
P 2.753 -0.103 8.609
P 5.958 0.103 5.444
P 5.711 -0.103 12.471
O 1.533 0.507 1.196
O 3.851 1.426 1.612
O 3.330 0.875 7.549
O 2.737 0.573 9.978
O 1.286 -0.507 8.223
O 5.106 1.426 5.414
O 5.134 0.875 13.531
O 2.984 -0.573 2.951
O 5.727 0.573 11.102
O 3.577 -0.875 0.522
O 3.605 -1.426 8.639
O 7.425 0.507 5.830
O 5.974 -0.573 4.075
O 5.381 -0.875 6.504
O 4.859 -1.426 12.441
O 7.178 -0.507 12.857